# 1
Entry from Alexandria: an optimized crystal structure of Ag2PPt (GGA-PBE). Values from VASP.

Geometry as Quantum ESPRESSO input:
```
&SYSTEM
  ibrav = 0, nat = 4, ntyp = 3
/
ATOMIC_SPECIES
Ag 107.87 Ag.upf
P 30.97 P.upf
Pt 195.08 Pt.upf
ATOMIC_POSITIONS angstrom
Ag -1.540 -4.999 7.734
Ag -0.847 -2.751 4.255
P -1.868 0.111 2.612
Pt 0.727 -0.449 2.767
CELL_PARAMETERS angstrom
-3.390 -2.024 3.841
1.799 -3.143 4.151
0.450 4.828 -2.614
```

Summary:
Energy relative to the elements, eV/atom: 0.141
SG: No. 71

***

# 2
Entry from Alexandria: an optimized crystal structure of CaAl2CdAg5 (GGA-PBE). Values from VASP.

Geometry as Quantum ESPRESSO input:
```
&SYSTEM
  ibrav = 0, nat = 9, ntyp = 4
/
ATOMIC_SPECIES
Ca 40.08 Ca.upf
Al 26.98 Al.upf
Cd 112.41 Cd.upf
Ag 107.87 Ag.upf
ATOMIC_POSITIONS angstrom
Ca 0.000 0.000 3.853
Al 2.469 2.469 1.243
Al 2.469 2.469 6.463
Cd 0.000 0.000 0.000
Ag 0.000 2.469 2.024
Ag 2.469 0.000 2.024
Ag 0.000 2.469 5.682
Ag 2.469 0.000 5.682
Ag 2.469 2.469 3.853
CELL_PARAMETERS angstrom
4.938 0.000 0.000
0.000 4.938 0.000
0.000 0.000 7.706
```

Summary:
Energy relative to the elements, eV/atom: -0.015
SG: No. 123

***

# 3
Entry from Alexandria: an optimized crystal structure of YTiFe2Ir (GGA-PBE). Values from VASP.

Geometry as Quantum ESPRESSO input:
```
&SYSTEM
  ibrav = 0, nat = 5, ntyp = 4
/
ATOMIC_SPECIES
Y 88.91 Y.upf
Ir 192.22 Ir.upf
Fe 55.84 Fe.upf
Ti 47.87 Ti.upf
ATOMIC_POSITIONS angstrom
Y 0.000 2.596 0.000
Ir 2.109 2.596 2.109
Fe 0.000 0.000 2.109
Fe 2.109 0.000 0.000
Ti 0.000 0.000 0.000
CELL_PARAMETERS angstrom
4.218 0.000 0.000
0.000 5.192 0.000
0.000 0.000 4.218
```

Summary:
Energy relative to the elements, eV/atom: 1.038
SG: No. 123

***

The following V values (in A^3/atom) correspond, in order, to the records above: 16.40 20.88 18.48.